Entry 1:
GGA-PBE TbPr2TmSe6, relaxed; formation energy without anion corrections = -1840 meV per atom; space-group type = R3, No. 146; uncorrected energy = -57.970 eV/cell; ρ = 5.88 g cm⁻³
1.0
-0.8773 -2.2708 6.9595
3.5197 -6.0235 2.3845
5.9242 0.9081 4.9498
Tb Pr Tm Se
1 2 1 6
direct
0.3185 0.3184 0.0446
0.5206 0.5206 0.4382
0.0212 0.0212 0.9364
0.8193 0.8194 0.5419
0.6039 0.1992 0.2605
0.1992 0.9363 0.2605
0.9364 0.6039 0.2606
0.4412 0.7025 0.7575
0.7026 0.0986 0.7575
0.0986 0.4414 0.7575

***

Entry 2:
GGA-PBE SrZnPS2, relaxed; formation energy without anion corrections = 697 meV per atom; space-group type = P4/mmm, No. 123; uncorrected energy = -13.135 eV/cell; ρ = 2.08 g cm⁻³; energy relative to the lowest polymorph listed for this composition = 518 kJ/mol of formula units
1.0
-3.1642 3.6879 2.9525
-2.6881 -4.3277 2.5248
4.1895 0.0099 4.4775
Sr Zn S P
1 1 2 1
direct
0.0000 0.0000 0.0000
0.5000 0.5000 0.5000
0.0000 0.5000 0.0000
0.5000 0.0000 0.0000
0.0000 0.0000 0.5000

***

Entry 3:
GGA-PBE Li9Ag4, relaxed; space-group type = Fmm2, No. 42; energy of formation from the pure elements = -0.160 eV/atom; uncorrected energy = -61.408 eV/cell; ρ = 3.70 g cm⁻³
1.0
-2.5028 -5.9961 7.0875
-2.1115 -8.0188 -0.9425
5.2623 -4.7538 4.2937
Li Ag
18 8
direct
0.2321 0.9909 0.7679
0.0091 0.7679 0.9909
0.7630 0.2370 0.9906
0.0094 0.9906 0.2370
0.3428 0.2953 0.6572
0.3359 0.0043 0.3636
0.6364 0.7039 0.6641
0.7047 0.6572 0.2953
0.2961 0.3636 0.0043
0.9957 0.6641 0.7039
0.6541 0.3459 0.7091
0.6476 0.6381 0.0044
0.3619 0.3524 0.2901
0.2909 0.7091 0.3459
0.7099 0.0044 0.6381
0.9956 0.2901 0.3524
0.6643 0.0012 0.3357
0.9988 0.3357 0.0012
0.3465 0.6535 0.0016
0.9984 0.0016 0.6535
0.3490 0.0092 0.9944
0.0056 0.3527 0.6510
0.3582 0.6418 0.6418
0.6473 0.9944 0.0092
0.9908 0.6510 0.3527
0.6559 0.3441 0.3441

***

Entry 4:
GGA-PBE TaTl, relaxed; space-group type = R-3m, No. 166; energy of formation from the pure elements = 0.589 eV/atom; uncorrected energy = -13.041 eV/cell; ρ = 15.40 g cm⁻³; energy relative to the lowest polymorph listed for this composition = 25 kJ/mol of formula units
1.0
5.2880 0.0061 0.0038
4.3730 2.9732 0.0038
4.3730 1.3486 2.6498
Ta Tl
1 1
direct
0.0000 0.0000 0.0000
0.5000 0.5000 0.5000